# CsNa3P2Au2 | OQMD | PBE-GGA | relaxed
data_CsNa3P2Au2
_cell_length_a 5.744
_cell_length_b 6.300
_cell_length_c 6.101
_cell_angle_alpha 90.00
_cell_angle_beta 106.97
_cell_angle_gamma 90.00
_symmetry_space_group_name_H-M 'P 1 m 1'
_symmetry_Int_Tables_number 6
_symmetry_space_group_name_Hall 'P -2y'
loop_
_atom_site_label
_atom_site_type_symbol
_atom_site_fract_x
_atom_site_fract_y
_atom_site_fract_z
Cs1 Cs 0.000 0.000 0.000
Na1 Na 0.294 0.500 0.317
Na2 Na 0.654 0.000 0.355
Na3 Na 0.914 0.500 0.647
P1 P 0.253 0.000 0.553
P2 P 0.710 0.500 0.113
Au1 Au 0.456 0.263 0.825
# E	-3.148	eV per atom
# crystal system	monoclinic